Computed, not measured: a relaxed DyErMgMn crystal at the PBE-GGA level of DFT.

Space-group type: No. 216
Energy of formation (eV per atom): 0.09

Cell lengths 5.1538, 5.1538, 5.1538 Å; angles 60.00, 60.00, 60.00 degrees
Each line ends with the local moment (μB).
Fractional coordinates of all 4 atoms:
1 Mg 0.0000 0.0000 0.0000  -0.01
2 Dy 0.2500 0.2500 0.2500  -0.21
3 Mn 0.5000 0.5000 0.5000  3.59
4 Er 0.7500 0.7500 0.7500  -0.23

Computed, not measured: a relaxed Nd2DyErMg crystal at the PBE-GGA level of DFT.

Space-group type: No. 51
Energy of formation (eV per atom): 0.16

Cell lengths 7.2756, 7.5040, 5.8944 Å; angles 90.00, 90.00, 90.00 degrees
Fractional coordinates of all 10 atoms:
1 Nd 0.6909 0.7152 0.7500
2 Nd 0.6909 0.2848 0.7500
3 Nd 0.3091 0.7152 0.2500
4 Nd 0.3091 0.2848 0.2500
5 Dy 0.1500 0.5000 0.7500
6 Dy 0.8500 0.5000 0.2500
7 Er 0.6271 0.0000 0.2500
8 Er 0.3729 0.0000 0.7500
9 Mg 0.0000 0.0000 0.0000
10 Mg 0.0000 0.0000 0.5000

Computed, not measured: a relaxed NdDyErMg crystal at the PBE-GGA level of DFT.

Distance to the lowest polymorph of the same formula (eV/atom): 0.000
Space-group type: No. 99
Energy of formation (eV per atom): -0.03

Cell lengths 3.6432, 3.6432, 9.0847 Å; angles 90.00, 90.00, 90.00 degrees
Fractional coordinates of all 4 atoms:
1 Nd 0.0000 0.0000 0.0727
2 Dy 0.5000 0.5000 0.7975
3 Er 0.5000 0.5000 0.3452
4 Mg 0.0000 0.0000 0.5694

Computed, not measured: a relaxed NdDy6Er2Mg crystal at the PBE-GGA level of DFT.

Space-group type: No. 15
Energy of formation (eV per atom): 0.12

Cell lengths 6.6246, 10.8054, 10.8054 Å; angles 124.94, 86.09, 86.09 degrees
Fractional coordinates of all 20 atoms:
1 Nd 0.2500 0.9880 0.0120
2 Nd 0.7500 0.0120 0.9880
3 Dy 0.0407 0.0715 0.7837
4 Dy 0.4593 0.2163 0.9285
5 Dy 0.9593 0.9285 0.2163
6 Dy 0.5407 0.7837 0.0715
7 Dy 0.2860 0.9132 0.4295
8 Dy 0.2140 0.5705 0.0868
9 Dy 0.7140 0.0868 0.5705
10 Dy 0.7860 0.4295 0.9132
11 Dy 0.0193 0.6879 0.5189
12 Dy 0.4807 0.4811 0.3121
13 Dy 0.9807 0.3121 0.4811
14 Dy 0.5193 0.5189 0.6879
15 Er 0.5038 0.8258 0.6569
16 Er 0.9962 0.3431 0.1742
17 Er 0.4962 0.1742 0.3431
18 Er 0.0038 0.6569 0.8258
19 Mg 0.2500 0.2920 0.7080
20 Mg 0.7500 0.7080 0.2920

Computed, not measured: a relaxed Nd6Dy2ErMg crystal at the PBE-GGA level of DFT.

Space-group type: No. 15
Energy of formation (eV per atom): 0.12

Cell lengths 9.6593, 8.8123, 8.8123 Å; angles 116.14, 94.48, 94.48 degrees
Fractional coordinates of all 20 atoms:
1 Nd 0.0504 0.1223 0.7604
2 Nd 0.4496 0.2396 0.8777
3 Nd 0.9496 0.8777 0.2396
4 Nd 0.5504 0.7604 0.1223
5 Nd 0.3060 0.9994 0.4326
6 Nd 0.1940 0.5674 0.0006
7 Nd 0.6940 0.0006 0.5674
8 Nd 0.8060 0.4326 0.9994
9 Nd 0.1120 0.7035 0.5032
10 Nd 0.3880 0.4968 0.2965
11 Nd 0.8880 0.2965 0.4968
12 Nd 0.6120 0.5032 0.7035
13 Dy 0.4476 0.8023 0.7050
14 Dy 0.0524 0.2950 0.1977
15 Dy 0.5524 0.1977 0.2950
16 Dy 0.9476 0.7050 0.8023
17 Er 0.2500 0.9792 0.0208
18 Er 0.7500 0.0208 0.9792
19 Mg 0.2500 0.4088 0.5912
20 Mg 0.7500 0.5912 0.4088

Computed, not measured: a relaxed NdDy2Er4Mg crystal at the PBE-GGA level of DFT.

Space-group type: No. 123
Energy of formation (eV per atom): 0.11

Cell lengths 5.7556, 9.3794, 5.7521 Å; angles 52.20, 90.00, 90.00 degrees
Each line ends with the local moment (μB).
Fractional coordinates of all 8 atoms:
1 Nd 0.5000 0.5000 0.0000  0.14
2 Dy 0.0000 0.0000 0.0000  0.08
3 Dy 0.5000 0.0000 0.5000  0.06
4 Er 0.0000 0.7453 0.7546  0.10
5 Er 0.0000 0.2547 0.2454  0.10
6 Er 0.5000 0.7452 0.2549  0.10
7 Er 0.5000 0.2548 0.7451  0.10
8 Mg 0.0000 0.5000 0.5000  0.00

Computed, not measured: a relaxed NdDy2Er2Mg2 crystal at the PBE-GGA level of DFT.

Space-group type: No. 166
Energy of formation (eV per atom): -0.03

Cell lengths 5.4571, 5.4571, 8.6092 Å; angles 71.52, 71.52, 60.00 degrees
Fractional coordinates of all 7 atoms:
1 Nd 0.0000 0.0000 0.0000
2 Dy 0.5716 0.5716 0.2851
3 Dy 0.4284 0.4284 0.7149
4 Er 0.1557 0.1557 0.5328
5 Er 0.8443 0.8443 0.4672
6 Mg 0.7111 0.7111 0.8668
7 Mg 0.2889 0.2889 0.1332

Computed, not measured: a relaxed NdDyErMg crystal at the PBE-GGA level of DFT.

Distance to the lowest polymorph of the same formula (eV/atom): 0.057
Space-group type: No. 216
Energy of formation (eV per atom): 0.03

Cell lengths 5.5409, 5.5409, 5.5409 Å; angles 60.00, 60.00, 60.00 degrees
Fractional coordinates of all 4 atoms:
1 Mg 0.0000 0.0000 0.0000
2 Dy 0.2500 0.2500 0.2500
3 Nd 0.7500 0.7500 0.7500
4 Er 0.5000 0.5000 0.5000

Computed, not measured: a relaxed Nd6Dy2Er3Mg crystal at the PBE-GGA level of DFT.

Space-group type: No. 12
Energy of formation (eV per atom): 0.02

Cell lengths 6.2245, 6.2245, 11.7629 Å; angles 95.07, 95.07, 120.03 degrees
Fractional coordinates of all 12 atoms:
1 Nd 0.9173 0.5847 0.7503
2 Nd 0.7502 0.7502 0.2507
3 Nd 0.0827 0.4153 0.2497
4 Nd 0.5847 0.9173 0.7503
5 Nd 0.2498 0.2498 0.7493
6 Nd 0.4153 0.0827 0.2497
7 Dy 0.3333 0.6667 0.0000
8 Dy 0.6667 0.3333 0.0000
9 Er 0.1665 0.8335 0.5000
10 Er 0.8335 0.1665 0.5000
11 Er 0.5000 0.5000 0.5000
12 Mg 0.0000 0.0000 0.0000

Computed, not measured: a relaxed Nd2Dy6Er3Mg crystal at the PBE-GGA level of DFT.

Space-group type: No. 12
Energy of formation (eV per atom): 0.02

Cell lengths 6.1153, 6.1153, 11.7212 Å; angles 95.01, 95.01, 120.04 degrees
Fractional coordinates of all 12 atoms:
1 Nd 0.3335 0.6665 0.0000
2 Nd 0.6665 0.3335 0.0000
3 Dy 0.9162 0.5847 0.7474
4 Dy 0.7520 0.7520 0.2535
5 Dy 0.0838 0.4153 0.2526
6 Dy 0.5847 0.9162 0.7474
7 Dy 0.2480 0.2480 0.7465
8 Dy 0.4153 0.0838 0.2526
9 Er 0.1656 0.8344 0.5000
10 Er 0.8344 0.1656 0.5000
11 Er 0.5000 0.5000 0.5000
12 Mg 0.0000 0.0000 0.0000

Computed, not measured: a relaxed Nd4Dy2ErMg crystal at the PBE-GGA level of DFT.

Space-group type: No. 123
Energy of formation (eV per atom): 0.05

Cell lengths 5.7843, 5.7839, 9.6509 Å; angles 53.19, 90.00, 90.00 degrees
Fractional coordinates of all 8 atoms:
1 Nd 0.0000 0.7590 0.7406
2 Nd 0.0000 0.2410 0.2594
3 Nd 0.5000 0.7399 0.2601
4 Nd 0.5000 0.2601 0.7399
5 Dy 0.0000 0.0000 0.0000
6 Dy 0.5000 0.0000 0.5000
7 Er 0.5000 0.5000 0.0000
8 Mg 0.0000 0.5000 0.5000

Computed, not measured: a relaxed Nd2Dy2Er2Mg crystal at the PBE-GGA level of DFT.

Space-group type: No. 12
Energy of formation (eV per atom): 0.09

Cell lengths 3.6375, 6.3155, 11.5731 Å; angles 116.88, 90.00, 106.74 degrees
Fractional coordinates of all 7 atoms:
1 Nd 0.5296 0.0592 0.7470
2 Nd 0.4704 0.9408 0.2530
3 Dy 0.7477 0.4954 0.6298
4 Dy 0.2523 0.5046 0.3702
5 Er 0.6798 0.3596 0.0857
6 Er 0.3202 0.6404 0.9143
7 Mg 0.0000 0.0000 0.5000

energy of formation of number 10 (Nd2Dy6Er3Mg)?
0.02 eV per atom